# PBE PrMgGa3, optimized geometry
# Size of the total moment, μB/atom: 0.00
# Final energy, eV for the cell shown: -35.632
# Calculated formation energy, eV per formula unit: -2.36
data_PrMgGa3
_symmetry_space_group_name_H-M 'P 1'
_symmetry_Int_Tables_number 1
_cell_length_a 4.252
_cell_length_b 4.267
_cell_length_c 12.413
_cell_angle_alpha 99.90
_cell_angle_beta 90.00
_cell_angle_gamma 90.00
loop_
_symmetry_equiv_pos_as_xyz
'x,y,z'
loop_
_atom_site_label
_atom_site_type_symbol
_atom_site_fract_x
_atom_site_fract_y
_atom_site_fract_z
_atom_site_occupancy
Ga1 Ga 0.250 0.373 0.746 1
Ga2 Ga 0.750 0.627 0.254 1
Ga3 Ga 0.750 0.316 0.632 1
Ga4 Ga 0.250 0.475 0.949 1
Ga5 Ga 0.750 0.525 0.051 1
Ga6 Ga 0.250 0.684 0.368 1
Mg1 Mg 0.750 0.205 0.409 1
Mg2 Mg 0.250 0.795 0.591 1
Pr1 Pr 0.750 0.923 0.845 1
Pr2 Pr 0.250 0.077 0.155 1